Density functional theory data (PBE) for an optimized crystal structure of TbPuSi4.

The value obtained for the density of states at the Fermi level is 1.56 states/eV per atom. As for the energy: -7.30 eV/atom. The value obtained for the uncorrected formation energy is -0.527 eV/atom.

It has space group Immm (No. 71), with a = 4.0759 Å, b = 7.0277 Å, c = 7.8440 Å, α = 90.00°, β = 90.00° and γ = 90.00°. The distinct sites, in fractional coordinates, are Tb at (0.0000, 0.0000, 0.0000), Pu at (0.0000, 0.0000, 0.5000) and Si at (0.0000, 0.3339, 0.2472).